1.
Below is an optimized crystal structure of AlNiN2F, with properties calculated at the PBE with a Hubbard U level.

Lattice parameters (Å, degrees): 3.7521 3.7521 3.7763 90.00 90.00 90.00
Last column: nearest neighbours and their distance in Å.
Space group P4/mmm (No. 123)
One atom of each set of equivalent atoms:
Al 0.0000 0.0000 0.0000  4 F 2.65, 8 N 2.66
Ni 0.5000 0.5000 0.5000  4 N 1.88, 2 F 1.89
N 0.0000 0.5000 0.5000  2 Ni 1.88
F 0.5000 0.5000 0.0000  2 Ni 1.89

***

2.
Below is an optimized crystal structure of AlNiN2F, with properties calculated at the PBE with a Hubbard U level.

Lattice parameters (Å, degrees): 3.8046 3.8046 3.6267 90.00 90.00 90.00
Last column: nearest neighbours and their distance in Å.
Space group P4/mmm (No. 123)
One atom of each set of equivalent atoms:
Al 0.0000 0.0000 0.0000  2 F 1.81, 4 N 1.90
Ni 0.5000 0.5000 0.5000  8 N 2.63, 4 F 2.69
N 0.0000 0.5000 0.0000  2 Al 1.90
F 0.0000 0.0000 0.5000  2 Al 1.81

***

no.,energy (eV per cell)
1,-22.1
2,-24.7